KScSe2 | PBE | relaxed

a = 3.9902 Å, b = 3.9902 Å, c = 7.7773 Å
α = 90.00°, β = 90.00°, γ = 120.00°
With the nearest neighbours (Å) after each atom.
Space group P-3m1 (No. 164)
Asymmetric unit:
K1 0.0000 0.0000 0.0000 [1 per cell]  6 Se 3.31
Sc1 0.0000 0.0000 0.5000 [1 per cell]  6 Se 2.75
Se1 0.3333 0.6667 0.3062 [2 per cell]  3 Sc 2.75

## Properties
formation energy (no corrections): -1.60 eV/atom
total magnetization: 0.00 μB per cell

***

K2ScSe | PBE | relaxed

a = 3.9963 Å, b = 5.7138 Å, c = 13.9802 Å
α = 90.00°, β = 90.00°, γ = 90.00°
With the nearest neighbours (Å) after each atom.
Space group Amm2 (No. 38)
Asymmetric unit:
K1 0.0000 0.0000 0.0000 [2 per cell]  4 Se 3.59, 2 Sc 3.83, 2 K 4.00
K2 0.5000 0.0000 0.3178 [2 per cell]  1 Se 3.42
Sc1 0.0000 0.0000 0.6828 [2 per cell]  2 Se 2.61
Se1 0.5000 0.0000 0.5622 [2 per cell]  2 Sc 2.61

## Properties
formation energy (no corrections): -0.45 eV/atom
total magnetization: 1.79 μB per cell